First-principles (PBE) data for an optimized crystal structure of AgRhN2, as listed in the Alexandria database.

Results
**Raw formation energy**: 0.85 eV per atom
**Space group**: No. 166
**Energy relative to the lowest polymorph listed for this composition**: 0.0 meV per atom
**Crystal system**: trigonal
**Electronic total energy**: -23.464 eV for the cell shown

Cell: 6.5450 6.5450 6.5450 Å, 27.04 27.04 27.04°
Closest atoms and distances in Å follow each position.
Element x y z (fractional)
1 Ag 0.0000 0.0000 0.0000  2 N 2.10
2 Rh 0.5000 0.5000 0.5000  6 N 2.06
3 N 0.1109 0.1109 0.1109  3 Rh 2.06, 1 Ag 2.10
4 N 0.8891 0.8891 0.8891  3 Rh 2.06, 1 Ag 2.10



First-principles (PBE) data for an optimized crystal structure of KPbC3, as listed in the Alexandria database.

Results
**Calculated formation energy**: 2.9412 eV per atom
**Space group**: No. 221
**Energy relative to the lowest polymorph listed for this composition**: 0.0 meV per atom
**Crystal system**: cubic
**Electronic total energy**: -17.771 eV for the cell shown

Cell: 4.6849 4.6849 4.6849 Å, 90.00 90.00 90.00°
Closest atoms and distances in Å follow each position.
Element x y z (fractional)
1 K 0.0000 0.0000 0.0000  12 C 3.31
2 Pb 0.5000 0.5000 0.5000  6 C 2.34
3 C 0.0000 0.5000 0.5000  2 Pb 2.34
4 C 0.5000 0.0000 0.5000  2 Pb 2.34
5 C 0.5000 0.5000 0.0000  2 Pb 2.34



First-principles (PBE) data for an optimized crystal structure of EuY2Tm, as listed in the Alexandria database.

Results
**Calculated formation energy**: 0.0606 eV per atom
**Space group**: No. 166
**Energy relative to the lowest polymorph listed for this composition**: 0.0 meV per atom
**Crystal system**: trigonal
**Electronic total energy**: -27.432 eV for the cell shown

Cell: 12.0302 12.0302 12.0302 Å, 17.25 17.25 17.25°
Closest atoms and distances in Å follow each position.
Element x y z (fractional)
1 Eu 0.0000 0.0000 0.0000  6 Eu 3.61, 6 Y 3.74
2 Y 0.2459 0.2459 0.2459  3 Tm 3.50, 6 Y 3.61, 3 Eu 3.74
3 Y 0.7541 0.7541 0.7541  3 Tm 3.50, 6 Y 3.61, 3 Eu 3.74
4 Tm 0.5000 0.5000 0.5000  6 Y 3.50, 6 Tm 3.61



First-principles (PBE) data for an optimized crystal structure of RbTcP2O, as listed in the Alexandria database.

Results
**Raw formation energy**: -0.12 eV per atom
**Space group**: No. 123
**Energy relative to the lowest polymorph listed for this composition**: 0.0 meV per atom
**Crystal system**: tetragonal
**Electronic total energy**: -27.697 eV for the cell shown

Cell: 4.9305 4.9305 3.8836 Å, 90.00 90.00 90.00°
Closest atoms and distances in Å follow each position.
Element x y z (fractional)
1 Rb 0.0000 0.0000 0.0000  8 P 3.14, 4 O 3.49
2 Tc 0.5000 0.5000 0.5000  2 O 1.94
3 P 0.0000 0.5000 0.5000  2 Tc 2.47
4 P 0.5000 0.0000 0.5000  2 Tc 2.47
5 O 0.5000 0.5000 0.0000  2 Tc 1.94



First-principles (PBE) data for an optimized crystal structure of Sr2ZnMo, as listed in the Alexandria database.

Results
**Calculated formation energy**: 0.7165 eV per atom
**Space group**: No. 123
**Crystal system**: tetragonal
**Electronic total energy**: -12.603 eV for the cell shown

Cell: 3.3721 3.3721 9.3170 Å, 90.00 90.00 90.00°
Closest atoms and distances in Å follow each position.
Element x y z (fractional)
1 Sr 0.0000 0.0000 0.2500  4 Mo 3.33, 4 Zn 3.33, 4 Sr 3.37
2 Sr 0.0000 0.0000 0.7500  4 Mo 3.33, 4 Zn 3.33, 4 Sr 3.37
3 Zn 0.5000 0.5000 0.0000  8 Sr 3.33, 4 Zn 3.37
4 Mo 0.5000 0.5000 0.5000  8 Sr 3.33, 4 Mo 3.37



First-principles (PBE) data for an optimized crystal structure of Sm7Tm12Th, as listed in the Alexandria database.

Results
**Calculated formation energy**: 0.7125 eV per atom
**Space group**: No. 229
**Energy relative to the lowest polymorph listed for this composition**: 473.7 meV per atom
**Crystal system**: cubic
**Electronic total energy**: -79.863 eV for the cell shown

Cell: 9.6664 9.6664 9.6664 Å, 109.47 109.47 109.47°
Closest atoms and distances in Å follow each position.
Element x y z (fractional)
1 Sm 0.0000 0.0000 0.5000  6 Tm 2.79
2 Sm 0.0000 0.5000 0.0000  6 Tm 2.79
3 Sm 0.0000 0.5000 0.5000  12 Tm 3.95-4.04
4 Sm 0.5000 0.0000 0.0000  6 Tm 2.79
5 Sm 0.5000 0.0000 0.5000  12 Tm 3.95-4.04
6 Sm 0.5000 0.5000 0.0000  12 Tm 3.95-4.04
7 Sm 0.5000 0.5000 0.5000  6 Tm 2.79
8 Tm 0.0000 0.2439 0.7561  2 Sm 2.79
9 Tm 0.0000 0.7561 0.2439  2 Sm 2.79
10 Tm 0.2439 0.0000 0.7561  2 Sm 2.79
11 Tm 0.2439 0.2439 0.4878  2 Sm 2.79
12 Tm 0.2439 0.4878 0.2439  2 Sm 2.79
13 Tm 0.2439 0.7561 0.0000  2 Sm 2.79
14 Tm 0.4878 0.2439 0.2439  2 Sm 2.79
15 Tm 0.5122 0.7561 0.7561  2 Sm 2.79
16 Tm 0.7561 0.0000 0.2439  2 Sm 2.79
17 Tm 0.7561 0.2439 0.0000  2 Sm 2.79
18 Tm 0.7561 0.5122 0.7561  2 Sm 2.79
19 Tm 0.7561 0.7561 0.5122  2 Sm 2.79
20 Th 0.0000 0.0000 0.0000  12 Tm 3.85